PuMgTc2: optimized geometry, PBE.

Values from the calculation:
formation energy from the elements: 94 meV per atom
VASP energy: -9.071 eV/atom

a = 6.4799 Å, b = 6.4799 Å, c = 6.4799 Å
α = 90.00°, β = 90.00°, γ = 90.00°
With the nearest neighbours (Å) after each atom.
Space group Fm-3m (No. 225)
One atom of each set of equivalent atoms:
Pu  0.0000  0.0000  0.0000 [4 per cell]  8 Tc 2.81
Mg  0.0000  0.0000  0.5000 [4 per cell]  8 Tc 2.81
Tc  0.2500  0.2500  0.2500 [8 per cell]  4 Mg 2.81, 4 Pu 2.81